The following is a PBE calculation of a geometry-optimized Ca2TbSe4 structure, from Alexandria.

a b c (Å): 4.003 7.391 13.482
angles (deg): 90.00 90.00 105.71
Element x y z (fractional)
Se1 0.777 0.554 0.374
Se2 0.777 0.554 0.126
Se3 0.223 0.446 0.626
Se4 0.223 0.446 0.874
Se5 0.500 0.000 0.500
Se6 0.020 0.040 0.250
Se7 0.500 0.000 0.000
Se8 0.980 0.960 0.750
Ca1 0.131 0.262 0.430
Ca2 0.869 0.738 0.570
Ca3 0.869 0.738 0.930
Ca4 0.131 0.262 0.070
Tb1 0.376 0.753 0.250
Tb2 0.624 0.247 0.750

Summary:
SG: Cmcm, No. 63
DOS at the Fermi energy: 9.8 states/eV/cell
formation energy from raw total energies: -1670 meV/atom